# Na3B2AsO6 | the Alexandria database | GGA-PBE | optimized geometry
data_Na3B2AsO6
_chemical_formula_sum 'Na3 B2 As1 O6'
_cell_length_a 5.238
_cell_length_b 5.238
_cell_length_c 6.228
_cell_angle_alpha 90.00
_cell_angle_beta 90.00
_cell_angle_gamma 120.00
_symmetry_space_group_name_H-M 'P 1'
_symmetry_Int_Tables_number 1
loop_
_symmetry_equiv_pos_as_xyz
'x,y,z'
loop_
_atom_site_label
_atom_site_fract_x
_atom_site_fract_y
_atom_site_fract_z
B1 0.333 0.667 0.280
Na1 0.333 0.667 0.753
O1 0.180 0.820 0.274
As1 0.000 0.000 0.500
B2 0.667 0.333 0.720
O2 0.361 0.180 0.726
Na2 0.667 0.333 0.247
O3 0.639 0.820 0.274
Na3 0.000 0.000 0.000
O4 0.820 0.639 0.726
O5 0.820 0.180 0.726
O6 0.180 0.361 0.274
# Energy: -73.62 eV/cell
# Uncorrected formation energy: -1.826 eV/atom